(1)
# YOs2PbSe

A relaxed YOs2PbSe crystal (PBE-GGA, the Alexandria database).

```
YOs2PbSe
1.0
-4.2296 -1.8751 0.1834
1.8879 -3.9762 2.8863
-0.8897 2.3851 3.8677
Pb Y Os Se
1 1 2 1
direct
0.5000 0.5000 0.5000
0.0000 0.5000 0.0000
0.0000 0.0000 0.5000
0.5000 0.0000 0.0000
0.0000 0.0000 0.0000
```

Properties
- Spin magnetization: 0.00 μB/cell
- Uncorrected energy: -6.472 eV/atom
- Space-group type: P4/mmm
- Energy relative to the elements, uncorrected: 0.75 eV/atom

---

(2)
# YOsPbSe2

A relaxed YOsPbSe2 crystal (PBE-GGA, the Alexandria database).

```
YOsPbSe2
1.0
4.9724 0.0000 0.0000
0.0000 5.2264 0.0000
0.0000 0.0000 4.9724
Pb Y Os Se
1 1 1 2
direct
0.5000 0.5000 0.5000
0.0000 0.5000 0.0000
0.0000 0.0000 0.0000
0.0000 0.0000 0.5000
0.5000 0.0000 0.0000
```

Properties
- Spin magnetization: 0.00 μB/cell
- Uncorrected energy: -5.538 eV/atom
- Space-group type: P4/mmm
- Energy relative to the elements, uncorrected: 0.14 eV/atom

---

(3)
# Si3OsPb

A relaxed Si3OsPb crystal (PBE-GGA, the Alexandria database).

```
Si3OsPb
1.0
4.7280 0.0000 0.0000
0.0000 4.7280 0.0000
0.0000 0.0000 4.7280
Pb Si Os
1 3 1
direct
0.5000 0.5000 0.5000
0.0000 0.5000 0.0000
0.0000 0.0000 0.5000
0.5000 0.0000 0.0000
0.0000 0.0000 0.0000
```

Properties
- Spin magnetization: 0.00 μB/cell
- Uncorrected energy: -5.754 eV/atom
- Space-group type: Pm-3m
- Energy relative to the elements, uncorrected: 0.49 eV/atom

---

(4)
# SiOsPb3

A relaxed SiOsPb3 crystal (PBE-GGA, the Alexandria database).

```
SiOsPb3
1.0
-4.4270 1.3121 2.5239
-2.8322 -2.4675 -3.6850
0.2647 -4.4586 2.7821
Pb Si Os
3 1 1
direct
0.0000 0.5000 0.0000
0.0000 0.0000 0.5000
0.5000 0.0000 0.0000
0.0000 0.0000 0.0000
0.5000 0.5000 0.5000
```

Properties
- Spin magnetization: 1.96 μB/cell
- Uncorrected energy: -4.032 eV/atom
- Space-group type: Pm-3m
- Energy relative to the elements, uncorrected: 1.52 eV/atom

---

(5)
# SiOsPb

A relaxed SiOsPb crystal (PBE-GGA, the Alexandria database).

```
SiOsPb
1.0
4.0487 0.0000 0.0000
-2.0244 3.5063 0.0000
0.0000 0.0000 4.4233
Os Pb Si
1 1 1
direct
0.0000 0.0000 0.8334
0.6667 0.3333 0.3334
0.3333 0.6667 0.8332
```

Properties
- Spin magnetization: 0.00 μB/cell
- Uncorrected energy: -6.356 eV/atom
- Space-group type: P-6m2
- Energy relative to the elements, uncorrected: 0.43 eV/atom

---

(6)
# SiOsPb3

A relaxed SiOsPb3 crystal (PBE-GGA, the Alexandria database).

```
SiOsPb3
1.0
5.2792 0.0000 0.0000
0.0000 5.2792 0.0000
0.0000 0.0000 5.2792
Pb Si Os
3 1 1
direct
0.0000 0.5000 0.0000
0.0000 0.0000 0.5000
0.5000 0.0000 0.0000
0.5000 0.5000 0.5000
0.0000 0.0000 0.0000
```

Properties
- Spin magnetization: 1.17 μB/cell
- Uncorrected energy: -4.715 eV/atom
- Space-group type: Pm-3m
- Energy relative to the elements, uncorrected: 0.84 eV/atom

---

(7)
# SiOsPb

A relaxed SiOsPb crystal (PBE-GGA, the Alexandria database).

```
SiOsPb
1.0
6.3473 -0.0412 0.0287
5.5926 2.9302 0.6546
0.7547 -0.4408 3.0044
Os Pb Si
1 1 1
direct
0.0335 0.0335 0.9665
0.3448 0.3448 0.6552
0.6217 0.6217 0.3783
```

Properties
- Spin magnetization: 0.00 μB/cell
- Uncorrected energy: -6.505 eV/atom
- Space-group type: I4mm
- Energy relative to the elements, uncorrected: 0.28 eV/atom

---

(8)
# SiOsPb

A relaxed SiOsPb crystal (PBE-GGA, the Alexandria database).

```
SiOsPb
1.0
3.2294 0.0000 0.0000
-1.6147 2.7967 0.0000
0.0000 0.0000 6.3605
Os Pb Si
1 1 1
direct
0.0000 0.0000 0.9573
0.6667 0.3333 0.3211
0.3333 0.6667 0.7216
```

Properties
- Spin magnetization: 0.00 μB/cell
- Uncorrected energy: -6.400 eV/atom
- Space-group type: P3m1
- Energy relative to the elements, uncorrected: 0.39 eV/atom

---

(9)
# Si4OsPb

A relaxed Si4OsPb crystal (PBE-GGA, the Alexandria database).

```
Si4OsPb
1.0
0.7727 -4.6098 2.3423
1.1582 -0.1818 5.0951
-3.5151 -1.8180 3.4166
Si Os Pb
4 1 1
direct
0.8723 0.3759 0.3759
0.3759 0.3759 0.8723
0.3759 0.8723 0.3759
0.3759 0.3759 0.3759
0.7500 0.7500 0.7500
0.0000 0.0000 0.0000
```

Properties
- Spin magnetization: 0.59 μB/cell
- Uncorrected energy: -5.215 eV/atom
- Space-group type: F-43m
- Energy relative to the elements, uncorrected: 0.89 eV/atom

---

(10)
# Sm5Os2Pb

A relaxed Sm5Os2Pb crystal (PBE-GGA, the Alexandria database).

```
Sm5Os2Pb
1.0
-6.1279 -2.5788 4.2098
0.4761 -6.9877 -3.5874
7.2617 2.4914 4.7417
Sm Os Pb
10 4 2
direct
0.5320 0.7080 0.7400
0.7920 0.9680 0.2600
0.0000 0.0000 0.0000
0.5000 0.5000 0.0000
0.2080 0.0320 0.7400
0.7080 0.2080 0.7400
0.0320 0.5320 0.7400
0.2920 0.7920 0.2600
0.9680 0.4680 0.2600
0.4680 0.2920 0.2600
0.1364 0.3636 0.0000
0.6364 0.1364 0.0000
0.3636 0.8636 0.0000
0.8636 0.6364 0.0000
0.7500 0.7500 0.5000
0.2500 0.2500 0.5000
```

Properties
- Spin magnetization: 0.00 μB/cell
- Uncorrected energy: -6.501 eV/atom
- DFT formation energy: -2.243 eV per formula unit
- Space-group type: I4/mcm

---

(11)
# Sm2OsPb

A relaxed Sm2OsPb crystal (PBE-GGA, the Alexandria database).

```
Sm2OsPb
1.0
3.4512 0.0000 0.0000
0.0000 3.4512 0.0000
0.0000 0.0000 8.6866
Pb Os Sm
1 1 2
direct
0.5000 0.5000 0.5000
0.5000 0.5000 0.0000
0.0000 0.0000 0.8023
0.0000 0.0000 0.1977
```

Properties
- Spin magnetization: 0.00 μB/cell
- Uncorrected energy: -6.380 eV/atom
- DFT formation energy: -1.143 eV per formula unit
- Space-group type: P4/mmm

---

(12)
# Sm12OsPb6

A relaxed Sm12OsPb6 crystal (PBE-GGA, the Alexandria database).

```
Sm12OsPb6
1.0
-7.8313 3.6765 1.7779
-0.8414 -0.9594 -8.7395
-1.7306 -8.2910 2.5043
Sm Os Pb
12 1 6
direct
0.8016 0.5773 0.4444
0.4444 0.8016 0.5773
0.5773 0.4444 0.8016
0.1984 0.4227 0.5556
0.5556 0.1984 0.4227
0.4227 0.5556 0.1984
0.0525 0.9946 0.3144
0.0054 0.6856 0.9475
0.6856 0.9475 0.0054
0.9475 0.0054 0.6856
0.9946 0.3144 0.0525
0.3144 0.0525 0.9946
0.0000 0.0000 0.0000
0.6831 0.8794 0.3502
0.6498 0.3169 0.1206
0.1206 0.6498 0.3169
0.3169 0.1206 0.6498
0.3502 0.6831 0.8794
0.8794 0.3502 0.6831
```

Properties
- Spin magnetization: 0.00 μB/cell
- Uncorrected energy: -4.999 eV/atom
- DFT formation energy: -4.863 eV per formula unit
- Space-group type: R-3

---

(13)
# Sm4OsPb

A relaxed Sm4OsPb crystal (PBE-GGA, the Alexandria database).

```
Sm4OsPb
1.0
-1.6239 5.9191 -1.2349
-7.2045 -4.6231 2.2758
5.4403 1.0168 6.1095
Sm Os Pb
8 2 2
direct
0.0670 0.2084 0.8605
0.7831 0.7228 0.6637
0.2936 0.6521 0.8605
0.3806 0.9409 0.6637
0.6194 0.0591 0.3363
0.7064 0.3479 0.1395
0.2169 0.2772 0.3363
0.9330 0.7916 0.1395
0.2506 0.0006 0.0012
0.7494 0.9994 0.9988
0.3783 0.6283 0.2566
0.6217 0.3717 0.7435
```

Properties
- Spin magnetization: 0.00 μB/cell
- Uncorrected energy: -5.960 eV/atom
- DFT formation energy: -1.946 eV per formula unit
- Space-group type: C2/c

---

(14)
# SnOs2Pb

A relaxed SnOs2Pb crystal (PBE-GGA, the Alexandria database).

```
SnOs2Pb
1.0
0.0000 3.3033 3.3033
3.3033 0.0000 3.3033
3.3033 3.3033 0.0000
Pb Os Sn
1 2 1
direct
0.5000 0.5000 0.5000
0.2500 0.2500 0.2500
0.7500 0.7500 0.7500
0.0000 0.0000 0.0000
```

Properties
- Spin magnetization: 0.00 μB/cell
- Uncorrected energy: -6.771 eV/atom
- DFT formation energy: 3.086 eV per formula unit
- Space-group type: Fm-3m

---

(15)
# SnOs3Pb

A relaxed SnOs3Pb crystal (PBE-GGA, the Alexandria database).

```
SnOs3Pb
1.0
4.9203 0.0000 0.0000
0.0000 4.9203 0.0000
0.0000 0.0000 4.9203
Pb Os Sn
1 3 1
direct
0.5000 0.5000 0.5000
0.0000 0.5000 0.0000
0.0000 0.0000 0.5000
0.5000 0.0000 0.0000
0.0000 0.0000 0.0000
```

Properties
- Spin magnetization: 3.88 μB/cell
- Uncorrected energy: -5.910 eV/atom
- DFT formation energy: 11.853 eV per formula unit
- Space-group type: Pm-3m

---

(16)
# Sn2OsPb2

A relaxed Sn2OsPb2 crystal (PBE-GGA, the Alexandria database).

```
Sn2OsPb2
1.0
7.0155 0.0000 0.0000
0.0000 7.0155 0.0000
0.0000 0.0000 5.3162
Pb Os Sn
4 2 4
direct
0.1732 0.6732 0.5000
0.6732 0.8268 0.5000
0.8268 0.3268 0.5000
0.3268 0.1732 0.5000
0.0000 0.0000 0.0000
0.5000 0.5000 0.0000
0.3459 0.8459 0.0000
0.8459 0.6541 0.0000
0.6541 0.1541 0.0000
0.1541 0.3459 0.0000
```

Properties
- Spin magnetization: 0.00 μB/cell
- Uncorrected energy: -4.912 eV/atom
- DFT formation energy: 2.093 eV per formula unit
- Space-group type: P4/mbm

---

(17)
# Sn2OsPb2

A relaxed Sn2OsPb2 crystal (PBE-GGA, the Alexandria database).

```
Sn2OsPb2
1.0
4.0043 0.0000 0.0000
0.0000 4.0043 0.0000
2.0022 2.0022 8.7246
Pb Os Sn
2 1 2
direct
0.7500 0.2500 0.5000
0.2500 0.7500 0.5000
0.0000 0.0000 0.0000
0.4185 0.4185 0.1630
0.5815 0.5815 0.8370
```

Properties
- Spin magnetization: 1.15 μB/cell
- Uncorrected energy: -4.288 eV/atom
- DFT formation energy: 5.211 eV per formula unit
- Space-group type: I4/mmm

---

(18)
# SnOs2Pb

A relaxed SnOs2Pb crystal (PBE-GGA, the Alexandria database).

```
SnOs2Pb
1.0
-0.8413 5.4018 -3.1378
3.0706 -2.3996 -4.9544
-3.7029 -0.4380 -6.0926
Pb Os Sn
2 4 2
direct
0.0000 0.0000 0.0000
0.7500 0.2500 0.5000
0.6151 0.1250 0.2500
0.1349 0.6250 0.2500
0.3750 0.3849 0.7500
0.8750 0.8651 0.7500
0.5000 0.5000 0.0000
0.2500 0.7500 0.5000
```

Properties
- Spin magnetization: 0.00 μB/cell
- Uncorrected energy: -5.864 eV/atom
- DFT formation energy: 6.717 eV per formula unit
- Space-group type: I-42d

---

(19)
# Tc2SnOsPb

A relaxed Tc2SnOsPb crystal (PBE-GGA, the Alexandria database).

```
Tc2SnOsPb
1.0
-2.5123 3.0892 2.7980
-3.6154 -3.8517 1.0063
2.5821 -1.4110 3.8763
Pb Os Sn Tc
1 1 1 2
direct
0.0000 0.5000 0.0000
0.5000 0.5000 0.5000
0.0000 0.0000 0.0000
0.0000 0.0000 0.5000
0.5000 0.0000 0.0000
```

Properties
- Spin magnetization: 3.89 μB/cell
- Uncorrected energy: -5.324 eV/atom
- DFT formation energy: 13.053 eV per formula unit
- Space-group type: P4/mmm

---

(20)
# SrOs2Pb

A relaxed SrOs2Pb crystal (PBE-GGA, the Alexandria database).

```
SrOs2Pb
1.0
3.1123 0.0000 0.0000
0.0000 3.1123 0.0000
0.0000 0.0000 8.7489
Os Pb Sr
2 1 1
direct
0.0000 0.0000 0.0490
0.5000 0.5000 0.2156
0.0000 0.0000 0.4490
0.5000 0.5000 0.7864
```

Properties
- Spin magnetization: 0.00 μB/cell
- Uncorrected energy: -6.508 eV/atom
- DFT formation energy: 1.817 eV per formula unit
- Space-group type: P4mm

---

(21)
# SrOs2Pb

A relaxed SrOs2Pb crystal (PBE-GGA, the Alexandria database).

```
SrOs2Pb
1.0
5.3492 -0.0215 0.0000
1.8232 5.0290 0.0000
-3.5862 -2.5037 3.0798
Os Pb Sr
2 1 1
direct
0.0000 0.0000 0.0000
0.5000 0.5000 0.0000
0.2500 0.7500 0.5000
0.7500 0.2500 0.5000
```

Properties
- Spin magnetization: 1.72 μB/cell
- Uncorrected energy: -5.789 eV/atom
- DFT formation energy: 4.693 eV per formula unit
- Space-group type: I4/mmm

---

(22)
# SrOsPb4

A relaxed SrOsPb4 crystal (PBE-GGA, the Alexandria database).

```
SrOsPb4
1.0
0.0000 4.4654 4.4654
4.4654 0.0000 4.4654
4.4654 4.4654 0.0000
Sr Os Pb
1 1 4
direct
0.7500 0.7500 0.7500
0.0000 0.0000 0.0000
0.3738 0.8785 0.3738
0.8785 0.3738 0.3738
0.3738 0.3738 0.8785
0.3738 0.3738 0.3738
```

Properties
- Spin magnetization: 0.00 μB/cell
- Uncorrected energy: -3.903 eV/atom
- DFT formation energy: 4.330 eV per formula unit
- Space-group type: F-43m

---

(23)
# SrOs3Pb

A relaxed SrOs3Pb crystal (PBE-GGA, the Alexandria database).

```
SrOs3Pb
1.0
5.0654 0.0000 0.0000
0.0000 5.0654 0.0000
0.0000 0.0000 5.0654
Pb Sr Os
1 1 3
direct
0.0000 0.0000 0.0000
0.5000 0.5000 0.5000
0.0000 0.5000 0.0000
0.0000 0.0000 0.5000
0.5000 0.0000 0.0000
```

Properties
- Spin magnetization: 3.72 μB/cell
- Uncorrected energy: -5.533 eV/atom
- DFT formation energy: 11.414 eV per formula unit
- Space-group type: Pm-3m

---

(24)
# SrOs2Pb

A relaxed SrOs2Pb crystal (PBE-GGA, the Alexandria database).

```
SrOs2Pb
1.0
5.1880 -0.0028 0.0000
-1.4583 4.9788 0.0000
0.0000 0.0000 3.1565
Os Pb Sr
2 1 1
direct
0.0000 0.0000 0.0000
0.5000 0.5000 0.0000
0.5000 0.0000 0.5000
0.0000 0.5000 0.5000
```

Properties
- Spin magnetization: 0.19 μB/cell
- Uncorrected energy: -5.763 eV/atom
- DFT formation energy: 4.799 eV per formula unit
- Space-group type: Cmmm

---

(25)
# SrOs2Pb

A relaxed SrOs2Pb crystal (PBE-GGA, the Alexandria database).

```
SrOs2Pb
1.0
4.2323 -0.0104 0.0087
2.1250 3.6602 0.0087
2.1070 1.2096 6.6431
Os Pb Sr
2 1 1
direct
0.0392 0.0392 0.8823
0.7244 0.7244 0.8265
0.4704 0.4704 0.5886
0.2660 0.2660 0.2026
```

Properties
- Spin magnetization: 0.00 μB/cell
- Uncorrected energy: -6.723 eV/atom
- DFT formation energy: 0.958 eV per formula unit
- Space-group type: R3m

---

(26)
# SrOs2Pb

A relaxed SrOs2Pb crystal (PBE-GGA, the Alexandria database).

```
SrOs2Pb
1.0
4.8883 0.0482 0.0000
-0.0573 4.8882 0.0000
-2.4155 -2.4682 3.4599
Os Pb Sr
2 1 1
direct
0.0000 0.0000 0.0000
0.7500 0.2500 0.5000
0.5000 0.5000 0.0000
0.2500 0.7500 0.5000
```

Properties
- Spin magnetization: 1.82 μB/cell
- Uncorrected energy: -5.874 eV/atom
- DFT formation energy: 4.353 eV per formula unit
- Space-group type: I-4m2

---

(27)
# SrOs2Pb

A relaxed SrOs2Pb crystal (PBE-GGA, the Alexandria database).

```
SrOs2Pb
1.0
8.0434 0.0000 0.0000
0.0000 8.0434 0.0000
4.0217 4.0217 2.8851
Pb Sr Os
2 2 4
direct
0.0000 0.0000 0.0000
0.7500 0.2500 0.5000
0.5000 0.5000 0.0000
0.2500 0.7500 0.5000
0.6686 0.1250 0.2500
0.0814 0.6250 0.2500
0.3750 0.3314 0.7500
0.8750 0.9186 0.7500
```

Properties
- Spin magnetization: 0.00 μB/cell
- Uncorrected energy: -5.547 eV/atom
- DFT formation energy: 5.662 eV per formula unit
- Space-group type: I-42d